Record 1
! Li5Hg6Sb | Alexandria via LeMat-Bulk | PBE | relaxed; values from VASP
! Energy relative to the elements, uncorrected: -3.7 eV per formula unit
! D(E_F): 0.302 states/eV/atom
! VASP energy: -1.6012 eV per atom
&SYSTEM
  ibrav = 0, nat = 12, ntyp = 3
/
ATOMIC_SPECIES
Li 6.94 Li.upf
Sb 121.76 Sb.upf
Hg 200.59 Hg.upf
CELL_PARAMETERS angstrom
-2.690 -3.047 2.287
0.731 -5.097 -5.925
6.404 1.468 4.729
ATOMIC_POSITIONS crystal
Li 0.000 0.500 0.000
Sb 0.000 0.000 0.000
Hg 0.177 0.892 0.355
Hg 0.822 0.537 0.645
Hg 0.823 0.108 0.645
Li 0.643 0.143 0.286
Li 0.324 0.324 0.647
Hg 0.178 0.463 0.355
Hg 0.500 0.708 0.000
Li 0.357 0.857 0.714
Li 0.676 0.676 0.353
Hg 0.500 0.292 0.000



Record 2
! Cs4In2S | Alexandria via LeMat-Bulk | PBE | relaxed; values from VASP
! Energy relative to the elements, uncorrected: -1.6 eV per formula unit
! D(E_F): 0.802 states/eV/atom
! VASP energy: -2.0929 eV per atom
&SYSTEM
  ibrav = 0, nat = 7, ntyp = 3
/
ATOMIC_SPECIES
Cs 132.91 Cs.upf
In 114.82 In.upf
S 32.06 S.upf
CELL_PARAMETERS angstrom
7.147 0.000 0.000
0.000 7.147 0.000
3.573 3.573 8.957
ATOMIC_POSITIONS crystal
Cs 0.000 0.500 0.000
In 0.417 0.417 0.165
Cs 0.180 0.180 0.640
S 0.000 0.000 0.000
In 0.583 0.583 0.835
Cs 0.820 0.820 0.360
Cs 0.500 0.000 0.000



Record 3
! Ba3CaO | Alexandria via LeMat-Bulk | PBE | relaxed; values from VASP
! Energy relative to the elements, uncorrected: -4.4 eV per formula unit
! D(E_F): 1.147 states/eV/atom
! VASP energy: -3.4307 eV per atom
! Energy above the most stable polymorph in this dataset: 0.0 meV per atom
&SYSTEM
  ibrav = 0, nat = 5, ntyp = 3
/
ATOMIC_SPECIES
O 16.00 O.upf
Ba 137.33 Ba.upf
Ca 40.08 Ca.upf
CELL_PARAMETERS angstrom
-3.114 -0.672 -4.868
-0.986 -5.560 1.399
-4.814 1.574 2.862
ATOMIC_POSITIONS crystal
O 0.000 0.000 0.000
Ba 0.000 0.000 0.500
Ba 0.500 0.000 0.000
Ca 0.500 0.500 0.500
Ba 0.000 0.500 0.000